# PBE VHgBi2Se, relaxed
data_VHgBi2Se
_chemical_formula_sum 'V1 Hg1 Bi2 Se1'
_symmetry_space_group_name_H-M 'P 1'
_symmetry_Int_Tables_number 1
_symmetry_space_group_name_Hall 'P 1'
_cell_length_a 5.289
_cell_length_b 5.272
_cell_length_c 5.289
_cell_angle_alpha 90.00
_cell_angle_beta 90.00
_cell_angle_gamma 90.00
loop_
_atom_site_label
_atom_site_type_symbol
_atom_site_fract_x
_atom_site_fract_y
_atom_site_fract_z
V1 V 0.000 0.000 0.000
Bi1 Bi 0.000 0.000 0.500
Bi2 Bi 0.500 0.000 0.000
Se1 Se 0.500 0.500 0.500
Hg1 Hg 0.000 0.500 0.000
# theoretical density	8.43	Mg/m³
# crystal system	tetragonal
# ΔE_f (raw)	42.2	kJ/mol of atoms
# DFT total energy	-18.482	eV for the cell shown

***

# PBE Y4HgBiSe2, relaxed
data_Y4HgBiSe2
_chemical_formula_sum 'Y4 Hg1 Bi1 Se2'
_symmetry_space_group_name_H-M 'P 1'
_symmetry_Int_Tables_number 1
_symmetry_space_group_name_Hall 'P 1'
_cell_length_a 4.161
_cell_length_b 7.712
_cell_length_c 7.094
_cell_angle_alpha 71.86
_cell_angle_beta 90.00
_cell_angle_gamma 90.00
loop_
_atom_site_label
_atom_site_type_symbol
_atom_site_fract_x
_atom_site_fract_y
_atom_site_fract_z
Y1 Y 0.000 0.770 0.739
Y2 Y 0.000 0.230 0.261
Y3 Y 0.500 0.771 0.248
Y4 Y 0.500 0.229 0.752
Hg1 Hg 0.000 0.500 0.500
Bi1 Bi 0.500 0.500 0.000
Se1 Se 0.000 0.000 0.000
Se2 Se 0.500 0.000 0.500
# theoretical density	7.08	Mg/m³
# crystal system	monoclinic
# ΔE_f (raw)	-115.1	kJ/mol of atoms
# DFT total energy	-46.552	eV for the cell shown